Here is YIn2Mo after structural relaxation from the Alexandria database. Energies are from PBE-GGA.

Cell lengths 4.997, 4.997, 4.997 Å; angles 60.00, 60.00, 60.00 degrees
Site moments in Bohr magnetons follow the coordinates.
Atoms (fractional coordinates):
Mo 0.500 0.500 0.500  1.78
Y 0.000 0.000 0.000  -0.03
In 0.750 0.750 0.750  0.01
In 0.250 0.250 0.250  0.01

Computed properties:
Raw total energy   -5.58 eV/atom
Formation energy   111 meV per atom
Calculated density   7802 kg/m3
Distance to the lowest polymorph of the same formula   0.105 eV/atom

Here is DyTl2Ni after structural relaxation from the Alexandria database. Energies are from PBE-GGA.

Cell lengths 3.524, 3.524, 10.044 Å; angles 79.90, 79.90, 60.00 degrees
Atoms (fractional coordinates):
Tl 0.894 0.894 0.319
Tl 0.106 0.106 0.681
Dy 0.000 0.000 0.000
Ni 0.500 0.500 0.500

Computed properties:
Raw total energy   -3.46 eV/atom
Formation energy   323 meV per atom
Calculated density   9890 kg/m3